No. 1
Li2ZnIn: single point on PBEsol structure, meta-GGA SCAN.

POSCAR file:
```
Li2ZnIn
1.0
-3.662 3.662 2.768
3.662 -3.662 2.768
3.662 3.662 -2.768
Li Zn In
4 2 2
Cartesian
1.831 1.658 -0.692
2.004 -1.831 3.460
1.831 2.004 2.076
1.658 5.493 0.692
0.000 0.000 0.000
0.000 3.662 1.384
3.662 0.000 1.384
0.000 0.000 2.768
```

Properties
- E_form: -46 meV/atom
- Crystal system: tetragonal

No. 2
Hg2H10C3NCl5: single point on PBEsol structure, meta-GGA SCAN.

POSCAR file:
```
Hg2H10C3NCl5
1.0
6.056 0.000 0.000
-1.522 9.888 0.000
-2.641 -1.430 10.432
Hg H C N Cl
4 20 6 2 10
Cartesian
-0.573 3.660 1.685
-0.542 5.437 5.956
2.435 3.022 4.475
2.467 4.799 8.747
-1.418 -0.537 7.381
-1.253 1.218 7.006
-0.232 0.011 6.134
-1.018 0.052 9.734
0.026 9.213 1.393
-0.735 1.777 9.301
-1.142 8.206 8.605
1.354 7.611 0.249
1.898 -0.265 3.124
0.885 7.358 2.589
1.008 1.101 7.843
-0.004 8.724 7.308
0.539 0.848 10.182
3.035 0.253 1.826
2.628 6.682 1.130
1.868 -0.754 9.039
2.911 8.406 0.698
2.125 8.448 4.298
3.146 7.241 3.426
3.312 8.996 3.051
-0.720 0.261 7.086
-0.261 0.793 9.431
0.811 9.357 2.149
1.082 -0.898 8.282
2.154 7.666 1.000
2.613 8.198 3.346
0.323 0.368 8.136
1.571 8.091 2.295
-3.578 7.100 9.183
-0.745 5.996 1.552
-0.617 3.305 4.519
-0.451 7.543 4.876
-0.477 4.605 8.241
2.371 3.854 2.191
2.344 0.916 5.555
2.510 5.154 5.912
2.639 2.462 8.880
5.472 1.359 1.249
```

Properties
- Crystal system: triclinic

No. 3
BaTiCo2: single point on PBEsol structure, meta-GGA SCAN.

POSCAR file:
```
BaTiCo2
1.0
0.000 3.258 3.258
3.258 0.000 3.258
3.258 3.258 0.000
Ba Ti Co
1 1 2
Cartesian
0.000 0.000 0.000
3.258 3.258 3.258
1.629 1.629 1.629
4.887 4.887 4.887
```

Properties
- E_form: 838 meV/atom
- Crystal system: cubic

No. 4
AlTcNF2: single point on PBEsol structure, meta-GGA SCAN.

POSCAR file:
```
AlTcNF2
1.0
4.164 0.000 0.000
0.000 4.164 0.000
0.000 0.000 3.766
Al Tc N F
1 1 1 2
Cartesian
0.000 0.000 0.000
2.082 2.082 1.883
2.082 2.082 0.000
0.000 2.082 1.883
2.082 0.000 1.883
```

Properties
- Crystal system: tetragonal
- Energy relative to the elements, uncorrected: -343 kJ/mol of formula units

No. 5
Fe5As: single point on PBEsol structure, meta-GGA SCAN.

POSCAR file:
```
Fe5As
1.0
1.452 -5.921 0.000
1.452 5.921 0.000
0.000 0.000 3.892
Fe As
5 1
Cartesian
0.000 0.000 0.000
1.452 3.928 1.946
1.452 1.991 0.000
1.452 -1.991 0.000
1.452 -3.928 1.946
1.452 0.000 1.946
```

Properties
- E_form: -51 meV/atom
- Crystal system: orthorhombic

No. 6
TiAlTl2: single point on PBEsol structure, meta-GGA SCAN.

POSCAR file:
```
TiAlTl2
1.0
0.000 3.480 3.480
3.480 0.000 3.480
3.480 3.480 0.000
Ti Al Tl
1 1 2
Cartesian
0.000 0.000 0.000
3.480 3.480 3.480
1.740 1.740 1.740
5.220 5.220 5.220
```

Properties
- E_form: 327 meV/atom
- Crystal system: cubic

No. 7
SrIr: single point on PBEsol structure, meta-GGA SCAN.

POSCAR file:
```
SrIr
1.0
-2.212 2.551 4.581
2.212 -2.551 4.581
2.212 2.551 -4.581
Sr Ir
2 2
Cartesian
0.000 1.275 0.946
2.212 1.275 3.635
2.212 1.275 -1.885
0.000 1.275 6.465
```

Properties
- E_form: -231 meV/atom
- Crystal system: orthorhombic

No. 8
Cr2ReH2: single point on PBEsol structure, meta-GGA SCAN.

POSCAR file:
```
Cr2ReH2
1.0
-1.364 1.364 5.708
1.364 -1.364 5.708
1.364 1.364 -5.708
Cr Re H
2 1 2
Cartesian
0.000 0.000 1.760
0.000 0.000 9.655
0.000 0.000 5.708
1.364 0.000 2.854
0.000 1.364 2.854
```

Properties
- Crystal system: tetragonal

No. 9
InRhSBr2: single point on PBEsol structure, meta-GGA SCAN.

POSCAR file:
```
InRhSBr2
1.0
4.832 0.000 0.000
0.000 4.832 0.000
0.000 0.000 5.391
In Rh S Br
1 1 1 2
Cartesian
0.000 0.000 0.000
2.416 2.416 0.000
0.000 0.000 2.695
0.000 2.416 2.695
2.416 0.000 2.695
```

Properties
- Crystal system: tetragonal
- Energy relative to the elements, uncorrected: 413 kJ/mol of formula units

No. 10
Li5Si2BiO8: single point on PBEsol structure, meta-GGA SCAN.

POSCAR file:
```
Li5Si2BiO8
1.0
3.694 -3.881 0.000
3.694 3.881 0.000
-0.210 0.000 6.377
Li Si Bi O
5 2 1 8
Cartesian
0.000 0.000 0.000
3.694 1.167 0.000
2.335 -1.437 1.389
4.844 -1.437 4.988
3.589 -3.617 3.189
2.278 -1.426 4.853
4.901 -1.426 1.524
3.589 1.103 3.189
1.186 -1.442 6.048
1.524 -1.192 3.353
3.308 -0.117 4.997
3.871 -0.117 1.380
3.270 -2.711 4.806
3.909 -2.711 1.571
5.655 -1.192 3.024
5.993 -1.442 0.329
```

Properties
- Crystal system: monoclinic
- Energy relative to the elements, uncorrected: -3678 kJ/mol of formula units

No. 11
LaTeBrN2: single point on PBEsol structure, meta-GGA SCAN.

POSCAR file:
```
LaTeBrN2
1.0
4.387 0.000 0.000
0.000 4.387 0.000
0.000 0.000 5.179
La Te Br N
1 1 1 2
Cartesian
0.000 0.000 0.000
2.194 2.194 0.000
2.194 2.194 2.589
0.000 2.194 2.589
2.194 0.000 2.589
```

Properties
- Crystal system: tetragonal
- Energy above the most stable polymorph in this dataset: 417.7 meV per atom
- Energy relative to the elements, uncorrected: 531 kJ/mol of formula units

No. 12
TiHg3Ge: single point on PBEsol structure, meta-GGA SCAN.

POSCAR file:
```
TiHg3Ge
1.0
5.070 0.000 0.000
0.000 5.070 0.000
0.000 0.000 5.070
Ti Hg Ge
1 3 1
Cartesian
0.000 0.000 0.000
0.000 2.535 2.535
2.535 0.000 2.535
2.535 2.535 0.000
2.535 2.535 2.535
```

Properties
- E_form: 625 meV/atom
- Crystal system: cubic

No. 13
CaTaSb2: single point on PBEsol structure, meta-GGA SCAN.

POSCAR file:
```
CaTaSb2
1.0
3.711 0.000 0.000
0.000 3.711 0.000
0.000 0.000 7.172
Ca Ta Sb
1 1 2
Cartesian
0.000 0.000 0.000
1.856 1.856 4.808
0.000 0.000 3.975
1.856 1.856 1.899
```

Properties
- Crystal system: tetragonal
- Energy above the most stable polymorph in this dataset: 325.3 meV per atom
- Energy relative to the elements, uncorrected: -4 kJ/mol of formula units

No. 14
SrLa2Cu: single point on PBEsol structure, meta-GGA SCAN.

POSCAR file:
```
SrLa2Cu
1.0
3.663 0.000 0.000
0.000 3.663 0.000
0.000 0.000 9.167
Sr La Cu
1 2 1
Cartesian
0.000 0.000 0.000
0.000 0.000 3.554
1.832 1.832 6.008
1.832 1.832 2.008
```

Properties
- E_form: 8 meV/atom
- Crystal system: tetragonal
- Energy above the most stable polymorph in this dataset: 0.0 meV per atom

No. 15
MnTcPb: single point on PBEsol structure, meta-GGA SCAN.

POSCAR file:
```
MnTcPb
1.0
0.000 3.105 3.105
3.105 0.000 3.105
3.105 3.105 0.000
Mn Tc Pb
1 1 1
Cartesian
0.000 0.000 0.000
3.105 3.105 3.105
4.657 4.657 4.657
```

Properties
- E_form: 747 meV/atom
- Crystal system: cubic
- Energy above the most stable polymorph in this dataset: 328.9 meV per atom

No. 16
LiScB4H16: single point on PBEsol structure, meta-GGA SCAN.

POSCAR file:
```
LiScB4H16
1.0
3.981 -4.372 0.000
3.981 4.372 0.000
0.000 0.000 11.682
Li Sc B H
2 2 8 32
Cartesian
0.000 0.000 0.000
0.000 0.000 5.841
3.981 0.000 2.609
3.981 0.000 8.451
1.966 0.171 7.015
1.966 -0.171 1.174
3.891 1.934 3.748
4.071 1.934 9.589
3.891 -1.934 9.589
4.071 -1.934 3.748
5.996 0.171 1.174
5.996 -0.171 7.015
1.150 1.075 6.933
1.770 0.798 0.449
3.815 2.965 4.369
4.148 2.965 10.210
2.933 1.424 9.591
3.572 2.078 2.555
1.942 0.217 2.356
1.150 -1.075 1.092
1.942 -0.217 8.197
3.130 1.039 4.186
3.063 0.668 6.709
1.770 -0.798 6.290
4.390 2.078 8.396
3.063 -0.668 0.868
5.029 1.424 3.749
4.832 1.039 10.027
3.130 -1.039 10.027
2.933 -1.424 3.749
4.899 0.668 0.868
3.572 -2.078 8.396
6.192 0.798 6.290
4.899 -0.668 6.709
4.832 -1.039 4.186
6.020 0.217 8.197
6.813 1.075 1.092
6.020 -0.217 2.356
4.390 -2.078 2.555
5.029 -1.424 9.591
3.815 -2.965 10.210
4.148 -2.965 4.369
6.192 -0.798 0.449
6.813 -1.075 6.933
```

Properties
- Crystal system: orthorhombic

No. 17
Tb2GaNi2: single point on PBEsol structure, meta-GGA SCAN.

POSCAR file:
```
Tb2GaNi2
1.0
-2.078 2.631 4.059
2.078 -2.631 4.059
2.078 2.631 -4.059
Tb Ga Ni
2 1 2
Cartesian
0.000 0.000 1.639
0.000 0.000 6.478
0.000 2.631 0.000
2.078 1.230 0.000
0.000 1.402 4.059
```

Properties
- E_form: -618 meV/atom
- Crystal system: orthorhombic

No. 18
Bi2Pt2Br: single point on PBEsol structure, meta-GGA SCAN.

POSCAR file:
```
Bi2Pt2Br
1.0
-1.952 1.952 8.035
1.952 -1.952 8.035
1.952 1.952 -8.035
Bi Pt Br
2 2 1
Cartesian
0.000 0.000 2.060
0.000 0.000 14.009
1.952 0.000 4.017
0.000 1.952 4.017
0.000 0.000 8.035
```

Properties
- Crystal system: tetragonal
- Energy relative to the elements, uncorrected: -161 kJ/mol of formula units

No. 19
Li2CuNi: single point on PBEsol structure, meta-GGA SCAN.

POSCAR file:
```
Li2CuNi
1.0
-1.361 2.039 4.124
1.361 -2.039 4.124
1.361 2.039 -4.124
Li Cu Ni
2 1 1
Cartesian
0.000 0.000 2.046
0.000 0.000 6.202
0.000 2.039 0.000
1.361 0.000 0.000
```

Properties
- E_form: 20 meV/atom
- Crystal system: orthorhombic
- Energy above the most stable polymorph in this dataset: 11.6 meV per atom

No. 20
TeWSe2: single point on PBEsol structure, meta-GGA SCAN.

POSCAR file:
```
TeWSe2
1.0
3.041 0.000 0.000
0.000 3.041 0.000
0.000 0.000 9.687
Te W Se
1 1 2
Cartesian
0.000 0.000 0.000
0.000 0.000 4.844
1.520 1.520 3.294
1.520 1.520 6.393
```

Properties
- Crystal system: tetragonal
- Energy relative to the elements, uncorrected: -13 kJ/mol of formula units

No. 21
Sc2AlFeRu: single point on PBEsol structure, meta-GGA SCAN.

POSCAR file:
```
Sc2AlFeRu
1.0
4.687 0.000 0.000
0.000 4.687 0.000
0.000 0.000 4.295
Sc Al Fe Ru
2 1 1 1
Cartesian
0.000 2.344 0.000
2.344 0.000 0.000
0.000 0.000 2.147
2.344 2.344 0.000
2.344 2.344 2.147
```

Properties
- E_form: 235 meV/atom
- Crystal system: tetragonal

No. 22
CrSi2Ag: single point on PBEsol structure, meta-GGA SCAN.

POSCAR file:
```
CrSi2Ag
1.0
-1.894 1.894 3.731
1.894 -1.894 3.731
1.894 1.894 -3.731
Cr Si Ag
1 2 1
Cartesian
0.000 0.000 0.000
1.894 0.000 1.865
0.000 1.894 1.865
0.000 0.000 3.731
```

Properties
- Crystal system: tetragonal
- Energy above the most stable polymorph in this dataset: 28.2 meV per atom
- Energy relative to the elements, uncorrected: 127 kJ/mol of formula units

No. 23
Cr2HgSb: single point on PBEsol structure, meta-GGA SCAN.

POSCAR file:
```
Cr2HgSb
1.0
3.005 0.000 0.000
0.000 3.005 0.000
0.000 0.000 7.918
Cr Hg Sb
2 1 1
Cartesian
0.000 0.000 0.000
1.503 1.503 1.120
0.000 0.000 3.035
1.503 1.503 6.073
```

Properties
- Crystal system: tetragonal
- Energy relative to the elements, uncorrected: 75 kJ/mol of formula units

No. 24
CrFe2Cu: single point on PBEsol structure, meta-GGA SCAN.

POSCAR file:
```
CrFe2Cu
1.0
-1.746 1.746 3.589
1.746 -1.746 3.589
1.746 1.746 -3.589
Cr Fe Cu
1 2 1
Cartesian
0.000 0.000 0.000
0.000 0.000 3.589
0.000 1.746 1.795
1.746 0.000 1.795
```

Properties
- E_form: 113 meV/atom
- Crystal system: tetragonal

| no. | total energy (eV per cell) |
| --- | --- |
| 1 | -103.73 |
| 2 | -518.17 |
| 3 | -86.84 |
| 4 | -62.74 |
| 5 | -111.14 |
| 6 | -167.19 |
| 7 | -187.67 |
| 8 | -114.29 |
| 9 | -111.42 |
| 10 | -198.53 |
| 11 | -112.90 |
| 12 | -236.49 |
| 13 | -150.81 |
| 14 | -123.65 |
| 15 | -126.86 |
| 16 | -216.84 |
| 17 | -145.31 |
| 18 | -318.68 |
| 19 | -36.07 |
| 20 | -147.23 |
| 21 | -88.00 |
| 22 | -68.47 |
| 23 | -141.41 |
| 24 | -69.39 |